[1]
First-principles (PBE) data for ScCdAu2 after structural relaxation, as listed in the Open Quantum Materials Database.

Computed properties:
Its magnetization is 0.00 μB/f.u. The formation energy comes out at -0.47 eV per atom. For the total energy, the calculation gives -0.1438 hartree per atom.

Lattice parameters (Å, degrees): 3.3495 4.7979 4.8614 90.00 90.00 90.00
Space group Pmm2 (No. 25)
Symmetry-distinct sites (fractional):
Sc 0.0000 0.0000 0.0000
Cd 0.0000 0.5000 0.4405
Au 0.5000 0.0000 0.5123
Au 0.5000 0.5000 0.9356

***

[2]
First-principles (PBE) data for Tm2Pt2O5 after structural relaxation, as listed in the Open Quantum Materials Database.

Computed properties:
Its magnetization is 0.15 μB/f.u. The energy above the most stable polymorph in this dataset is 0 meV/atom. For the total energy, the calculation gives -0.2432 hartree per atom.

Lattice parameters (Å, degrees): 3.7200 3.7200 8.8883 90.00 90.00 90.00
Space group P4/mmm (No. 123)
Symmetry-distinct sites (fractional):
Tm 0.0000 0.0000 0.2395
Pt 0.5000 0.5000 0.0000
Pt 0.5000 0.5000 0.5000
O 0.0000 0.0000 0.0000
O 0.0000 0.5000 0.3639

***

[3]
First-principles (PBE) data for BeOs2Br4 after structural relaxation, as listed in the Open Quantum Materials Database.

Computed properties:
Its magnetization is 0.03 μB/f.u. For the total energy, the calculation gives -0.1402 hartree per atom.

Lattice parameters (Å, degrees): 5.2651 5.2651 11.9082 90.00 90.00 90.00
Space group I4/mmm (No. 139)
Symmetry-distinct sites (fractional):
Be 0.0000 0.0000 0.0000
Os 0.0000 0.0000 0.4080
Br 0.0000 0.0000 0.1906
Br 0.0000 0.5000 0.0000

***

[4]
First-principles (PBE) data for Pr2Er2SiBr5 after structural relaxation, as listed in the Open Quantum Materials Database.

Computed properties:
Its magnetization is 0.01 μB/f.u. For the total energy, the calculation gives -0.1735 hartree per atom.

Lattice parameters (Å, degrees): 18.3627 4.0992 8.8233 90.00 102.02 90.00
Space group C2/m (No. 12)
Symmetry-distinct sites (fractional):
Pr 0.0014 0.0000 0.2757
Er 0.1481 0.5000 0.5758
Si 0.0000 0.5000 0.5000
Br 0.0000 0.5000 0.0000
Br 0.1703 0.0000 0.8073
Br 0.1779 0.0000 0.3605

***

[5]
First-principles (PBE) data for LiTlCoIr after structural relaxation, as listed in the Open Quantum Materials Database.

Computed properties:
Its magnetization is 2.20 μB/f.u. The energy above the most stable polymorph in this dataset is 0 meV/atom. For the total energy, the calculation gives -0.1789 hartree per atom.

Lattice parameters (Å, degrees): 6.1590 6.1590 6.1590 90.00 90.00 90.00
Space group F-43m (No. 216)
Symmetry-distinct sites (fractional):
Li 0.0000 0.0000 0.0000
Tl 0.2500 0.2500 0.2500
Co 0.0000 0.0000 0.5000
Ir 0.2500 0.2500 0.7500

***

[6]
First-principles (PBE) data for UTcSn after structural relaxation, as listed in the Open Quantum Materials Database.

Computed properties:
Its magnetization is 0.86 μB/f.u. The energy above the most stable polymorph in this dataset is 0 meV/atom. For the total energy, the calculation gives -0.2793 hartree per atom.

Lattice parameters (Å, degrees): 6.6171 6.6171 6.6171 90.00 90.00 90.00
Space group F-43m (No. 216)
Symmetry-distinct sites (fractional):
U 0.0000 0.0000 0.0000
Tc 0.0000 0.0000 0.5000
Sn 0.2500 0.2500 0.7500

***

[7]
First-principles (PBE) data for ZnFeAsPd after structural relaxation, as listed in the Open Quantum Materials Database.

Computed properties:
Its magnetization is 2.15 μB/f.u. The energy above the most stable polymorph in this dataset is 0 meV/atom. For the total energy, the calculation gives -0.1807 hartree per atom.

Lattice parameters (Å, degrees): 6.1112 6.1112 6.1112 90.00 90.00 90.00
Space group F-43m (No. 216)
Symmetry-distinct sites (fractional):
Zn 0.0000 0.0000 0.0000
Fe 0.2500 0.2500 0.7500
As 0.0000 0.0000 0.5000
Pd 0.2500 0.2500 0.2500

***

[8]
First-principles (PBE) data for Tb3LuPb2C2 after structural relaxation, as listed in the Open Quantum Materials Database.

Computed properties:
Its magnetization is 0.01 μB/f.u. For the total energy, the calculation gives -0.2213 hartree per atom.

Lattice parameters (Å, degrees): 3.6248 3.6248 16.1096 90.00 90.00 120.00
Space group P3m1 (No. 156)
Symmetry-distinct sites (fractional):
Tb 0.0000 0.0000 0.0000
Tb 0.0000 0.0000 0.3362
Tb 0.3333 0.6667 0.5034
Lu 0.3333 0.6667 0.8375
Pb 0.0000 0.0000 0.6735
Pb 0.3333 0.6667 0.1680
C 0.6667 0.3333 0.4199
C 0.6667 0.3333 0.9160

***

[9]
First-principles (PBE) data for AgH after structural relaxation, as listed in the Open Quantum Materials Database.

Computed properties:
The energy above the most stable polymorph in this dataset is 153 meV/atom. For the total energy, the calculation gives -0.1007 hartree per atom.

Lattice parameters (Å, degrees): 4.3541 4.3541 4.3541 90.00 90.00 90.00
Space group Fm-3m (No. 225)
Symmetry-distinct sites (fractional):
Ag 0.0000 0.0000 0.0000
H 0.0000 0.0000 0.5000

***

[10]
First-principles (PBE) data for NbZnCdNi after structural relaxation, as listed in the Open Quantum Materials Database.

Computed properties:
Its magnetization is 0.39 μB/f.u. The formation energy comes out at 0.25 eV per atom. For the total energy, the calculation gives -0.1545 hartree per atom.

Lattice parameters (Å, degrees): 6.3127 6.3127 6.3127 90.00 90.00 90.00
Space group F-43m (No. 216)
Symmetry-distinct sites (fractional):
Nb 0.0000 0.0000 0.0000
Zn 0.2500 0.2500 0.2500
Cd 0.2500 0.2500 0.7500
Ni 0.0000 0.0000 0.5000

***

[11]
First-principles (PBE) data for Hf3AgSn5 after structural relaxation, as listed in the Open Quantum Materials Database.

Computed properties:
Its magnetization is 0.02 μB/f.u. For the total energy, the calculation gives -0.2114 hartree per atom.

Lattice parameters (Å, degrees): 5.9769 5.9769 7.7289 90.00 90.00 120.00
Space group P6/mmm (No. 191)
Symmetry-distinct sites (fractional):
Hf 0.0000 0.5000 0.0000
Ag 0.0000 0.0000 0.5000
Sn 0.0000 0.0000 0.0000
Sn 0.3333 0.6667 0.3190

***

[12]
First-principles (PBE) data for SmZrBi after structural relaxation, as listed in the Open Quantum Materials Database.

Computed properties:
Its magnetization is 3.60 μB/f.u. The energy above the most stable polymorph in this dataset is 560 meV/atom. For the total energy, the calculation gives -0.1941 hartree per atom.

Lattice parameters (Å, degrees): 7.4094 7.4094 7.4094 90.00 90.00 90.00
Space group F-43m (No. 216)
Symmetry-distinct sites (fractional):
Sm 0.0000 0.0000 0.0000
Zr 0.2500 0.2500 0.2500
Bi 0.2500 0.2500 0.7500